1.
VASP calculation (PBEsol) on Ho2NiGe6 after structural relaxation.

Lattice parameters (Å, degrees): 3.983 10.727 10.727 21.13 90.00 90.00
Sites, in units of the cell vectors:
Ho 0.000 0.000 0.000
Ho 0.000 0.336 0.336
Ni 0.500 0.557 0.557
Ge 0.000 0.615 0.615
Ge 0.000 0.732 0.732
Ge 0.500 0.115 0.115
Ge 0.500 0.233 0.233
Ge 0.500 0.450 0.450
Ge 0.500 0.875 0.875

Results
Formation energy   -0.58 eV per atom
Crystal system   orthorhombic
Magnetic moment   0.00 μB/cell
Space-group type   Amm2, No. 38

=====

2.
VASP calculation (PBEsol) on HoNiGe after structural relaxation.

Lattice parameters (Å, degrees): 9.974 4.066 6.739 90.00 131.60 90.00
Sites, in units of the cell vectors:
Ho 0.053 0.000 0.313
Ho 0.447 0.500 0.687
Ho 0.553 0.500 0.313
Ho 0.947 0.000 0.687
Ni 0.168 0.500 0.720
Ni 0.332 0.000 0.280
Ni 0.668 0.000 0.720
Ni 0.832 0.500 0.280
Ge 0.170 0.500 0.101
Ge 0.330 0.000 0.899
Ge 0.670 0.000 0.101
Ge 0.830 0.500 0.899

Results
Formation energy   -0.77 eV per atom
Crystal system   monoclinic
Magnetic moment   0.00 μB/cell
Space-group type   C2/m, No. 12

=====

3.
VASP calculation (PBEsol) on Ho5Ge10Os4 after structural relaxation.

Lattice parameters (Å, degrees): 12.928 12.928 4.245 90.00 90.00 90.00
Sites, in units of the cell vectors:
Ho 0.000 0.000 0.000
Ho 0.118 0.382 0.500
Ho 0.172 0.672 0.500
Ho 0.328 0.172 0.500
Ho 0.382 0.882 0.500
Ho 0.500 0.500 0.000
Ho 0.618 0.118 0.500
Ho 0.672 0.828 0.500
Ho 0.828 0.328 0.500
Ho 0.882 0.618 0.500
Ge 0.007 0.843 0.500
Ge 0.067 0.567 0.000
Ge 0.157 0.007 0.500
Ge 0.165 0.198 0.000
Ge 0.198 0.835 0.000
Ge 0.302 0.335 0.000
Ge 0.335 0.698 0.000
Ge 0.343 0.507 0.500
Ge 0.433 0.067 0.000
Ge 0.493 0.343 0.500
Ge 0.507 0.657 0.500
Ge 0.567 0.933 0.000
Ge 0.657 0.493 0.500
Ge 0.665 0.302 0.000
Ge 0.698 0.665 0.000
Ge 0.802 0.165 0.000
Ge 0.835 0.802 0.000
Ge 0.843 0.993 0.500
Ge 0.933 0.433 0.000
Ge 0.993 0.157 0.500
Os 0.018 0.752 0.000
Os 0.248 0.018 0.000
Os 0.252 0.518 0.000
Os 0.482 0.252 0.000
Os 0.518 0.748 0.000
Os 0.748 0.482 0.000
Os 0.752 0.982 0.000
Os 0.982 0.248 0.000

Results
Formation energy   -0.59 eV per atom
Crystal system   tetragonal
Magnetic moment   0.00 μB/cell
Space-group type   P4/mbm, No. 127